1.
Pr6CdOs2, relaxed, DFT GGA-PBE; energy relative to the elements = -123 meV per atom
1.0
-4.9197 5.0193 5.3673
4.9197 -5.0193 5.3673
4.9197 5.0193 -5.3673
Pr Cd Os
12 2 4
Cartesian
4.9197 2.9599 -2.7952 Pr
2.7402 1.8522 0.0000 Pr
7.0991 1.8522 0.0000 Pr
1.8320 5.0193 -1.8561 Pr
3.0877 0.0000 3.5112 Pr
0.0000 2.0593 2.5721 Pr
4.9197 2.9599 2.7952 Pr
1.8320 5.0193 1.8561 Pr
3.0877 0.0000 7.2233 Pr
-2.1795 3.1670 5.3673 Pr
2.1795 3.1670 5.3673 Pr
0.0000 2.0593 8.1625 Pr
0.0000 0.0000 0.0000 Cd
0.0000 0.0000 5.3673 Cd
4.9197 0.0000 1.2370 Os
0.0000 3.2964 0.0000 Os
0.0000 6.7422 0.0000 Os
0.0000 5.0193 4.1303 Os

2.
Sm9HoEr2, relaxed, DFT GGA-PBE; energy relative to the elements = 18 meV per atom
1.0
5.0888 0.0000 0.0000
0.0000 5.0888 0.0000
0.0000 0.0000 15.2553
Sm Ho Er
9 1 2
Cartesian
0.0000 0.0000 0.0000 Sm
0.0000 0.0000 5.0899 Sm
0.0000 0.0000 10.1654 Sm
0.0000 2.5444 2.5478 Sm
0.0000 2.5444 7.6276 Sm
0.0000 2.5444 12.7075 Sm
2.5444 0.0000 2.5478 Sm
2.5444 0.0000 7.6276 Sm
2.5444 0.0000 12.7075 Sm
2.5444 2.5444 0.0000 Ho
2.5444 2.5444 5.0878 Er
2.5444 2.5444 10.1674 Er

3.
TcAs2HS, relaxed, DFT GGA-PBE; energy = -23.98 eV per cell
1.0
4.6291 0.0000 0.0000
0.0000 4.6291 0.0000
0.0000 0.0000 3.3480
Tc As H S
1 2 1 1
Cartesian
0.0000 0.0000 0.0000 Tc
0.0000 2.3145 1.6740 As
2.3145 0.0000 1.6740 As
0.0000 0.0000 1.6740 H
2.3145 2.3145 0.0000 S

4.
Zr3S, relaxed, DFT GGA-PBE; formation energy without anion corrections = -0.2151 eV per atom
1.0
4.2689 0.0000 0.0000
0.0000 4.2689 0.0000
0.0000 0.0000 4.2689
Zr S
3 1
Cartesian
0.0000 0.0000 2.1344 Zr
0.0000 2.1344 0.0000 Zr
2.1344 0.0000 0.0000 Zr
2.1344 2.1344 2.1344 S

5.
CsBS3O11, relaxed, DFT GGA-PBE; formation energy without anion corrections = -1.5398 eV per atom
1.0
10.7265 0.0000 0.0000
0.0000 11.9183 0.0000
-1.9055 0.0000 8.2744
Cs B S O
4 4 12 44
Cartesian
2.4748 1.6145 0.4938 Cs
1.5220 4.3447 4.6311 Cs
7.2990 7.5736 3.6434 Cs
6.3462 10.3039 7.7806 Cs
1.6974 8.5106 7.6977 B
2.6502 9.3669 3.5605 B
6.1708 2.5514 4.7139 B
7.1236 3.4078 0.5767 B
-0.6869 7.7600 6.6130 S
0.2658 10.1176 2.4758 S
2.4661 6.1892 0.4033 S
1.5134 11.6884 4.5405 S
3.5025 7.9230 5.7319 S
4.4552 9.9546 1.5947 S
4.3658 1.9638 6.6798 S
5.3185 3.9954 2.5425 S
7.3076 0.2300 3.7340 S
6.3549 5.7292 7.8712 S
8.5552 1.8008 5.7987 S
9.5079 4.1584 1.6614 S
-0.9624 2.5631 5.8642 O
-0.0096 3.3960 1.7270 O
-0.4195 6.7834 5.5973 O
0.5333 11.0941 1.4601 O
-0.7637 7.0204 8.0792 O
0.1891 10.8572 3.9420 O
0.5094 8.7059 6.8111 O
1.4621 9.1716 2.6739 O
1.6536 0.9936 3.8086 O
0.7009 4.9656 7.9458 O
2.2134 6.1612 1.8062 O
1.2606 11.7163 5.9434 O
2.5295 8.3095 4.5701 O
3.4823 9.5680 0.4329 O
3.6167 7.1425 0.0320 O
2.6640 10.7351 4.1692 O
2.9340 8.7245 6.9538 O
3.8868 9.1530 2.8166 O
3.0486 2.5008 6.8960 O
4.0014 3.4584 2.7588 O
3.3417 6.5106 5.9273 O
4.2945 11.3669 1.7901 O
4.5265 0.5514 6.4844 O
5.4793 5.4078 2.3471 O
4.8196 8.4600 5.5157 O
5.7724 9.4176 1.3784 O
4.9342 2.7653 5.4578 O
5.8870 3.1939 1.3206 O
6.1570 1.1833 4.1052 O
5.2043 4.7759 8.2424 O
5.3387 2.3503 7.8416 O
6.2915 3.6089 3.7044 O
7.5604 0.2020 2.3310 O
6.6076 5.7571 6.4682 O
8.1201 6.9528 0.3286 O
7.1674 10.9247 4.4658 O
7.3589 2.7467 5.6006 O
8.3116 3.2124 1.4634 O
8.6319 1.0612 4.3324 O
9.5847 4.8980 0.1952 O
8.2877 0.8243 6.8143 O
9.2405 5.1349 2.6771 O
8.8306 8.5223 6.5474 O
9.7834 9.3552 2.4102 O

6.
Na2SiSnSe4, relaxed, DFT GGA-PBE; formation energy without anion corrections = -0.5489 eV per atom
1.0
-3.9374 4.1934 5.7666
3.9374 -4.1934 5.7666
3.9374 4.1934 -5.7666
Na Si Sn Se
4 2 2 8
Cartesian
0.0000 0.0000 0.0000 Na
-1.9687 2.0967 2.8833 Na
0.0000 4.1934 0.0000 Na
1.9687 2.0967 2.8833 Na
1.9687 2.0967 -2.8833 Si
1.9687 -2.0967 2.8833 Si
3.9374 0.0000 0.0000 Sn
0.0000 0.0000 5.7666 Sn
3.9374 3.8683 -2.9024 Se
3.9374 -0.3251 2.9024 Se
1.9435 2.0967 -0.2981 Se
1.9940 -2.0967 5.4685 Se
1.9435 6.2901 0.2981 Se
1.9940 2.0967 6.0646 Se
0.0000 4.5185 2.8641 Se
0.0000 0.3251 8.6690 Se

7.
NaCaMg2Au, relaxed, DFT GGA-PBE; energy relative to the elements = -210 meV per atom
1.0
5.2561 0.0000 0.0000
0.0000 5.2561 0.0000
0.0000 0.0000 5.6533
Na Ca Mg Au
1 1 2 1
Cartesian
0.0000 0.0000 0.0000 Na
2.6280 2.6280 0.0000 Ca
0.0000 2.6280 2.8267 Mg
2.6280 0.0000 2.8267 Mg
2.6280 2.6280 2.8267 Au

8.
Nd3Ho6Tm2, relaxed, DFT GGA-PBE; energy relative to the elements = 279 meV per atom
1.0
-2.3715 2.3715 16.5700
2.3715 -2.3715 16.5700
2.3715 2.3715 -16.5700
Nd Ho Tm
3 6 2
Cartesian
0.0000 0.0000 0.0000 Nd
0.0000 0.0000 6.7436 Nd
0.0000 0.0000 26.3964 Nd
2.3715 0.0000 3.9768 Ho
0.0000 0.0000 10.1917 Ho
2.3715 0.0000 12.5932 Ho
0.0000 2.3715 3.9768 Ho
0.0000 0.0000 22.9484 Ho
0.0000 2.3715 12.5932 Ho
0.0000 0.0000 15.0392 Tm
0.0000 0.0000 18.1008 Tm

9.
AcLuTlGe, relaxed, DFT GGA-PBE; energy relative to the elements = -350 meV per atom
1.0
7.6845 0.0000 0.0000
0.0000 7.6845 0.0000
0.0000 0.0000 7.6845
Ac Lu Tl Ge
4 4 4 4
Cartesian
0.0000 0.0000 0.0000 Ac
0.0000 3.8422 3.8422 Ac
3.8422 0.0000 3.8422 Ac
3.8422 3.8422 0.0000 Ac
0.0000 0.0000 3.8422 Lu
0.0000 3.8422 0.0000 Lu
3.8422 0.0000 0.0000 Lu
3.8422 3.8422 3.8422 Lu
1.9211 1.9211 1.9211 Tl
1.9211 5.7633 5.7633 Tl
5.7633 1.9211 5.7633 Tl
5.7633 5.7633 1.9211 Tl
1.9211 1.9211 5.7633 Ge
1.9211 5.7633 1.9211 Ge
5.7633 1.9211 1.9211 Ge
5.7633 5.7633 5.7633 Ge

10.
Cs2CoRe, relaxed, DFT GGA-PBE; energy relative to the elements = 2414 meV per atom
1.0
7.6081 0.0000 0.0000
0.0000 7.6081 0.0000
0.0000 0.0000 7.6081
Cs Co Re
8 4 4
Cartesian
1.9020 1.9020 1.9020 Cs
1.9020 1.9020 5.7061 Cs
1.9020 5.7061 1.9020 Cs
1.9020 5.7061 5.7061 Cs
5.7061 1.9020 1.9020 Cs
5.7061 1.9020 5.7061 Cs
5.7061 5.7061 1.9020 Cs
5.7061 5.7061 5.7061 Cs
0.0000 0.0000 0.0000 Co
0.0000 3.8041 3.8041 Co
3.8041 0.0000 3.8041 Co
3.8041 3.8041 0.0000 Co
0.0000 0.0000 3.8041 Re
0.0000 3.8041 0.0000 Re
3.8041 0.0000 0.0000 Re
3.8041 3.8041 3.8041 Re

11.
CaTmGaAu, relaxed, DFT GGA-PBE; energy relative to the elements = -650 meV per atom
1.0
7.1820 0.0000 0.0000
0.0000 7.1820 0.0000
0.0000 0.0000 7.1820
Ca Tm Ga Au
4 4 4 4
Cartesian
0.0000 0.0000 0.0000 Ca
0.0000 3.5910 3.5910 Ca
3.5910 0.0000 3.5910 Ca
3.5910 3.5910 0.0000 Ca
0.0000 0.0000 3.5910 Tm
0.0000 3.5910 0.0000 Tm
3.5910 0.0000 0.0000 Tm
3.5910 3.5910 3.5910 Tm
1.7955 1.7955 5.3865 Ga
1.7955 5.3865 1.7955 Ga
5.3865 1.7955 1.7955 Ga
5.3865 5.3865 5.3865 Ga
1.7955 1.7955 1.7955 Au
1.7955 5.3865 5.3865 Au
5.3865 1.7955 5.3865 Au
5.3865 5.3865 1.7955 Au

12.
AgSbC2O, relaxed, DFT GGA-PBE; formation energy without anion corrections = 2.0962 eV per atom
1.0
4.0949 0.0000 0.0000
0.0000 4.0949 0.0000
0.0000 0.0000 4.3588
Ag Sb C O
1 1 2 1
Cartesian
0.0000 0.0000 0.0000 Ag
2.0474 2.0474 2.1794 Sb
0.0000 2.0474 0.0000 C
2.0474 0.0000 0.0000 C
0.0000 0.0000 2.1794 O

The following total moment values (in μB per cell) correspond, in order, to the records above: 0.000; 0.000; 0.002; 0.000; 0.038; 0.000; 0.000; 0.001; 0.000; 22.034; 0.000; 1.686.